#one
Entry from Alexandria via LeMat-Bulk: a relaxed Zr4GaPt crystal (PBE).

abc: 7.354 7.354 7.354
angles: 126.07 126.07 79.77
Atoms (fractional coordinates):
Zr: 0.020 0.520 0.819
Zr: 0.201 0.020 0.500
Zr: 0.299 0.799 0.819
Zr: 0.480 0.299 0.500
Zr: 0.520 0.701 0.500
Zr: 0.701 0.201 0.181
Zr: 0.799 0.980 0.500
Zr: 0.980 0.480 0.181
Ga: 0.250 0.250 0.000
Ga: 0.750 0.750 0.000
Pt: 0.000 0.000 0.000
Pt: 0.500 0.500 0.000

Results
**ρ**: 8.333 g/cm³
**SG**: I4/mcm (140)
**Total magnetization**: 0.000 μB per formula unit

***

#two
Entry from Alexandria via LeMat-Bulk: a relaxed Zr4GaPt crystal (PBE).

abc: 6.736 6.736 5.423
angles: 90.00 90.00 90.00
Atoms (fractional coordinates):
Zr: 0.157 0.343 0.250
Zr: 0.157 0.657 0.750
Zr: 0.343 0.157 0.750
Zr: 0.343 0.843 0.250
Zr: 0.657 0.157 0.250
Zr: 0.657 0.843 0.750
Zr: 0.843 0.343 0.750
Zr: 0.843 0.657 0.250
Ga: 0.000 0.000 0.000
Ga: 0.500 0.500 0.500
Pt: 0.000 0.000 0.500
Pt: 0.500 0.500 0.000

Results
**ρ**: 8.500 g/cm³
**SG**: I422 (97)
**Total magnetization**: 0.000 μB per formula unit

***

#two has the most favorable energy; the next structure is 0.141 eV/atom above.